A plane-wave DFT calculation with PBEsol was carried out for an optimized crystal structure of MgBiRu3.

abc: 4.479 4.479 4.479
angles: 90.00 90.00 90.00
Positions (direct):
Ru: 0.000 0.500 0.000
Ru: 0.000 0.000 0.500
Ru: 0.500 0.000 0.000
Mg: 0.000 0.000 0.000
Bi: 0.500 0.500 0.500

Output
ρ ... 9.9 Mg/m³
Formation energy from the elements ... 7.86 eV/f.u.
Relative energy among the computed polymorphs ... 0.0 meV per atom

***

A plane-wave DFT calculation with PBEsol was carried out for an optimized crystal structure of PtSe2Cl.

abc: 3.374 5.174 6.801
angles: 119.34 104.36 90.00
Positions (direct):
Se: 0.124 0.156 0.247
Se: 0.197 0.694 0.394
Pt: 0.766 0.248 0.532
Cl: 0.414 0.402 0.827

Output
ρ ... 6.5 Mg/m³
Relative energy among the computed polymorphs ... 307.8 meV per atom
Formation energy from raw total energies ... -0.043 eV per atom

***

A plane-wave DFT calculation with PBEsol was carried out for an optimized crystal structure of MgCdAg2.

abc: 2.997 2.997 9.477
angles: 80.90 80.90 60.00
Positions (direct):
Mg: 0.000 0.000 0.000
Ag: 0.252 0.252 0.243
Ag: 0.748 0.748 0.757
Cd: 0.500 0.500 0.500

Output
ρ ... 8.1 Mg/m³
Formation energy from the elements ... -0.34 eV/f.u.

***

A plane-wave DFT calculation with PBEsol was carried out for an optimized crystal structure of ZnP2Rh.

abc: 3.084 4.304 4.304
angles: 107.35 90.54 90.54
Positions (direct):
P: 0.000 0.000 0.500
P: 0.000 0.500 0.000
Rh: 0.500 0.500 0.500
Zn: 0.500 0.000 0.000

Output
ρ ... 7.0 Mg/m³
Formation energy from the elements ... -0.02 eV/f.u.

***

A plane-wave DFT calculation with PBEsol was carried out for an optimized crystal structure of ReNiMo2.

abc: 2.683 4.643 4.760
angles: 98.23 90.00 106.79
Positions (direct):
Mo: 0.002 0.003 0.007
Mo: 0.240 0.480 0.733
Ni: 0.498 0.995 0.502
Re: 0.761 0.522 0.259

Output
ρ ... 12.9 Mg/m³
Formation energy from the elements ... 0.56 eV/f.u.
Relative energy among the computed polymorphs ... 113.7 meV per atom

***

A plane-wave DFT calculation with PBEsol was carried out for an optimized crystal structure of MgSi2B12.

abc: 6.091 8.370 10.991
angles: 90.00 90.00 90.00
Positions (direct):
Mg: 0.750 0.158 0.429
Mg: 0.250 0.658 0.071
Mg: 0.750 0.342 0.929
Mg: 0.250 0.842 0.571
Si: 0.750 0.633 0.919
Si: 0.750 0.102 0.084
Si: 0.750 0.398 0.584
Si: 0.250 0.898 0.916
Si: 0.250 0.367 0.081
Si: 0.750 0.867 0.419
Si: 0.250 0.133 0.581
Si: 0.250 0.602 0.416
B: 0.015 0.533 0.831
B: 0.092 0.166 0.292
B: 0.985 0.467 0.169
B: 0.750 0.155 0.647
B: 0.017 0.030 0.173
B: 0.091 0.833 0.213
B: 0.750 0.345 0.147
B: 0.750 0.648 0.347
B: 0.250 0.845 0.353
B: 0.409 0.833 0.213
B: 0.750 0.943 0.597
B: 0.408 0.166 0.292
B: 0.250 0.057 0.403
B: 0.015 0.967 0.331
B: 0.592 0.834 0.708
B: 0.091 0.667 0.713
B: 0.483 0.470 0.673
B: 0.409 0.667 0.713
B: 0.591 0.333 0.287
B: 0.017 0.470 0.673
B: 0.517 0.970 0.827
B: 0.908 0.666 0.208
B: 0.485 0.533 0.831
B: 0.750 0.445 0.399
B: 0.515 0.033 0.669
B: 0.250 0.945 0.101
B: 0.750 0.852 0.847
B: 0.591 0.167 0.787
B: 0.985 0.033 0.669
B: 0.250 0.352 0.653
B: 0.983 0.970 0.827
B: 0.909 0.333 0.287
B: 0.750 0.055 0.899
B: 0.983 0.530 0.327
B: 0.092 0.334 0.792
B: 0.515 0.467 0.169
B: 0.408 0.334 0.792
B: 0.483 0.030 0.173
B: 0.485 0.967 0.331
B: 0.909 0.167 0.787
B: 0.250 0.555 0.601
B: 0.250 0.148 0.153
B: 0.517 0.530 0.327
B: 0.592 0.666 0.208
B: 0.908 0.834 0.708
B: 0.750 0.557 0.097
B: 0.250 0.655 0.853
B: 0.250 0.443 0.903

Output
ρ ... 2.5 Mg/m³
Formation energy from raw total energies ... -0.130 eV per atom

***

A plane-wave DFT calculation with PBEsol was carried out for an optimized crystal structure of SrPb5.

abc: 4.948 5.026 7.690
angles: 90.00 108.77 90.00
Positions (direct):
Pb: 0.331 0.500 0.662
Pb: 0.173 0.000 0.346
Pb: 0.000 0.500 0.000
Pb: 0.827 0.000 0.654
Pb: 0.669 0.500 0.338
Sr: 0.500 0.000 0.000

Output
ρ ... 10.3 Mg/m³
Formation energy from the elements ... -1.25 eV/f.u.

***

A plane-wave DFT calculation with PBEsol was carried out for an optimized crystal structure of Cu2As.

abc: 3.687 3.687 12.041
angles: 98.81 98.81 90.00
Positions (direct):
As: 0.175 0.675 0.351
As: 0.325 0.825 0.649
As: 0.925 0.925 0.851
As: 0.075 0.075 0.149
Cu: 0.002 0.502 0.004
Cu: 0.498 0.998 0.996
Cu: 0.752 0.752 0.504
Cu: 0.248 0.248 0.496
Cu: 0.832 0.332 0.664
Cu: 0.668 0.168 0.336
Cu: 0.582 0.582 0.164
Cu: 0.418 0.418 0.836

Output
ρ ... 8.4 Mg/m³
Formation energy from the elements ... 0.21 eV/f.u.

***

A plane-wave DFT calculation with PBEsol was carried out for an optimized crystal structure of RbCdP2Cl.

abc: 4.933 4.933 5.875
angles: 90.00 90.00 90.00
Positions (direct):
P: 0.000 0.500 0.000
P: 0.500 0.000 0.000
Cl: 0.000 0.000 0.500
Rb: 0.500 0.500 0.500
Cd: 0.000 0.000 0.000

Output
ρ ... 3.4 Mg/m³
Formation energy from raw total energies ... 0.149 eV per atom

***

A plane-wave DFT calculation with PBEsol was carried out for an optimized crystal structure of MgMnInS4.

abc: 7.346 7.375 7.375
angles: 61.38 60.13 60.13
Positions (direct):
Mg: 0.872 0.878 0.378
Mg: 0.128 0.122 0.622
Mn: 0.000 0.500 0.000
Mn: 0.500 0.500 0.000
In: 0.500 0.000 0.000
In: 0.500 0.500 0.500
S: 0.751 0.280 0.219
S: 0.721 0.270 0.770
S: 0.239 0.270 0.770
S: 0.249 0.281 0.220
S: 0.761 0.730 0.230
S: 0.751 0.719 0.780
S: 0.249 0.720 0.781
S: 0.279 0.730 0.230

Output
ρ ... 3.7 Mg/m³
Formation energy from raw total energies ... -0.754 eV per atom

***

A plane-wave DFT calculation with PBEsol was carried out for an optimized crystal structure of Hf3NbTc.

abc: 4.861 4.861 4.861
angles: 90.00 90.00 90.00
Positions (direct):
Nb: 0.000 0.000 0.000
Hf: 0.000 0.500 0.000
Hf: 0.000 0.000 0.500
Hf: 0.500 0.000 0.000
Tc: 0.500 0.500 0.500

Output
ρ ... 10.5 Mg/m³
Formation energy from the elements ... 7.49 eV/f.u.

***

A plane-wave DFT calculation with PBEsol was carried out for an optimized crystal structure of Ba3Al5.

abc: 6.065 6.065 14.813
angles: 90.00 90.00 120.00
Positions (direct):
Ba: 0.667 0.333 0.374
Ba: 0.333 0.667 0.874
Ba: 0.333 0.667 0.626
Ba: 0.667 0.333 0.126
Ba: 0.000 0.000 0.000
Ba: 0.000 0.000 0.500
Al: 0.667 0.333 0.885
Al: 0.333 0.667 0.385
Al: 0.333 0.667 0.115
Al: 0.667 0.333 0.615
Al: 0.845 0.155 0.750
Al: 0.310 0.155 0.750
Al: 0.845 0.690 0.750
Al: 0.155 0.845 0.250
Al: 0.690 0.845 0.250
Al: 0.155 0.310 0.250

Output
ρ ... 3.8 Mg/m³
Formation energy from the elements ... -1.87 eV/f.u.

***

A plane-wave DFT calculation with PBEsol was carried out for an optimized crystal structure of KLiS.

abc: 4.168 4.168 8.859
angles: 90.00 90.00 120.00
Positions (direct):
K: 0.000 0.000 0.000
K: 0.000 0.000 0.500
S: 0.333 0.667 0.250
S: 0.667 0.333 0.750
Li: 0.667 0.333 0.250
Li: 0.333 0.667 0.750

Output
ρ ... 1.9 Mg/m³
Formation energy from raw total energies ... -1.193 eV per atom

***

A plane-wave DFT calculation with PBEsol was carried out for an optimized crystal structure of NaSc2I6.

abc: 7.486 7.486 13.480
angles: 90.00 90.00 120.00
Positions (direct):
Na: 0.667 0.333 0.125
Na: 0.333 0.667 0.625
Sc: 0.000 0.000 0.874
Sc: 0.000 0.000 0.624
Sc: 0.000 0.000 0.374
Sc: 0.000 0.000 0.124
I: 0.018 0.696 0.998
I: 0.696 0.677 0.750
I: 0.981 0.304 0.750
I: 0.678 0.982 0.998
I: 0.696 0.018 0.498
I: 0.304 0.322 0.998
I: 0.677 0.696 0.250
I: 0.323 0.019 0.750
I: 0.304 0.981 0.250
I: 0.982 0.678 0.498
I: 0.322 0.304 0.498
I: 0.019 0.323 0.250

Output
ρ ... 4.4 Mg/m³
Formation energy from raw total energies ... -1.231 eV per atom

***

A plane-wave DFT calculation with PBEsol was carried out for an optimized crystal structure of CuTe.

abc: 4.088 4.088 4.088
angles: 60.00 60.00 60.00
Positions (direct):
Te: 0.250 0.250 0.250
Cu: 0.000 0.000 0.000

Output
ρ ... 6.6 Mg/m³
Formation energy from raw total energies ... 0.019 eV per atom

***

A plane-wave DFT calculation with PBEsol was carried out for an optimized crystal structure of CrB2Ir.

abc: 3.761 3.761 3.761
angles: 60.00 60.00 60.00
Positions (direct):
Cr: 0.000 0.000 0.000
B: 0.250 0.250 0.250
B: 0.750 0.750 0.750
Ir: 0.500 0.500 0.500

Output
ρ ... 11.7 Mg/m³
Formation energy from the elements ... 0.24 eV/f.u.

***

A plane-wave DFT calculation with PBEsol was carried out for an optimized crystal structure of La2HfZnS.

abc: 4.779 5.518 5.518
angles: 90.00 90.00 90.00
Positions (direct):
Zn: 0.500 0.000 0.000
Hf: 0.000 0.000 0.000
S: 0.500 0.500 0.500
La: 0.000 0.000 0.500
La: 0.000 0.500 0.000

Output
ρ ... 6.3 Mg/m³
Formation energy from raw total energies ... 0.389 eV per atom

***

A plane-wave DFT calculation with PBEsol was carried out for an optimized crystal structure of LaTlFe.

abc: 4.970 4.970 4.970
angles: 60.00 60.00 60.00
Positions (direct):
Fe: 0.500 0.500 0.500
La: 0.250 0.250 0.250
Tl: 0.000 0.000 0.000

Output
ρ ... 7.6 Mg/m³
Formation energy from the elements ... 2.64 eV/f.u.

***

A plane-wave DFT calculation with PBEsol was carried out for an optimized crystal structure of K2AuCl.

abc: 4.535 4.537 6.428
angles: 90.00 90.00 90.00
Positions (direct):
K: 0.875 0.500 0.000
K: 0.375 0.000 0.500
Au: 0.375 0.000 0.000
Cl: 0.875 0.500 0.500

Output
ρ ... 3.9 Mg/m³
Relative energy among the computed polymorphs ... 15.5 meV per atom
Formation energy from raw total energies ... -0.962 eV per atom

***

A plane-wave DFT calculation with PBEsol was carried out for an optimized crystal structure of KIn2Ni.

abc: 4.438 4.438 4.650
angles: 90.00 90.00 90.00
Positions (direct):
In: 0.000 0.500 0.000
In: 0.500 0.000 0.000
K: 0.500 0.500 0.500
Ni: 0.000 0.000 0.500

Output
ρ ... 5.9 Mg/m³
Formation energy from the elements ... 1.82 eV/f.u.